(1)
# RbTlHgPd2

Crystalline RbTlHgPd2 at its relaxed geometry (GGA-PBE, Alexandria via LeMat-Bulk).

Total magnetic moment: 0.0 μB/f.u.
Calculated formation energy: 0.9464 eV/atom
Crystal system: tetragonal
Space group: P4/mmm (123)
Calculated total energy: -1.858 eV/atom

a b c (Å): 5.3410 5.3410 6.3084
angles (deg): 90.00 90.00 90.00
Last column: nearest neighbours and their distance in Å.
Sites, in units of the cell vectors:
1 Rb 0.0000 0.0000 0.0000  4 Pd 2.67
2 Tl 0.5000 0.5000 0.5000  4 Hg 3.78, 8 Pd 4.13
3 Hg 0.0000 0.0000 0.5000  2 Rb 3.15
4 Pd 0.0000 0.5000 0.0000  2 Rb 2.67
5 Pd 0.5000 0.0000 0.0000  2 Rb 2.67

(2)
# RbTlHg2Pd

Crystalline RbTlHg2Pd at its relaxed geometry (GGA-PBE, Alexandria via LeMat-Bulk).

Total magnetic moment: 0.0 μB/f.u.
Calculated formation energy: 0.6097 eV/atom
Distance to the lowest polymorph of the same formula: 804 meV per atom
Crystal system: tetragonal
Space group: P4/mmm (123)
Calculated total energy: -1.216 eV/atom

a b c (Å): 6.3739 5.6506 6.3739
angles (deg): 90.00 90.00 90.00
Last column: nearest neighbours and their distance in Å.
Sites, in units of the cell vectors:
1 Rb 0.0000 0.0000 0.0000  2 Pd 2.83
2 Tl 0.5000 0.5000 0.5000  8 Hg 4.26, 4 Pd 4.51
3 Hg 0.0000 0.0000 0.5000  2 Rb 3.19
4 Hg 0.5000 0.0000 0.0000  2 Rb 3.19
5 Pd 0.0000 0.5000 0.0000  2 Rb 2.83

(3)
# RbTlHg2Pd

Crystalline RbTlHg2Pd at its relaxed geometry (GGA-PBE, Alexandria via LeMat-Bulk).

Total magnetic moment: 0.0 μB/f.u.
Calculated formation energy: -0.1945 eV/atom
Distance to the lowest polymorph of the same formula: 0 meV per atom
Crystal system: tetragonal
Space group: P4/mmm (123)
Calculated total energy: -2.021 eV/atom

a b c (Å): 5.4670 5.4670 5.3515
angles (deg): 90.00 90.00 90.00
Last column: nearest neighbours and their distance in Å.
Sites, in units of the cell vectors:
1 Rb 0.5000 0.5000 0.5000  8 Hg 3.83, 4 Tl 3.87
2 Tl 0.0000 0.0000 0.5000  2 Pd 2.68
3 Hg 0.0000 0.5000 0.0000  2 Pd 2.73
4 Hg 0.5000 0.0000 0.0000  2 Pd 2.73
5 Pd 0.0000 0.0000 0.0000  2 Tl 2.68, 4 Hg 2.73

(4)
# Rb2TlHg5Pd

Crystalline Rb2TlHg5Pd at its relaxed geometry (GGA-PBE, Alexandria via LeMat-Bulk).

Total magnetic moment: 0.0 μB/f.u.
Calculated formation energy: -0.1738 eV/atom
Crystal system: tetragonal
Space group: I4mm (107)
Calculated total energy: -1.396 eV/atom

a b c (Å): 7.2889 7.2889 7.2889
angles (deg): 93.55 117.97 117.97
Last column: nearest neighbours and their distance in Å.
Sites, in units of the cell vectors:
1 Rb 0.5000 0.2598 0.7598  10 Hg 3.63-3.76, 2 Tl 3.80
2 Rb 0.5000 0.7598 0.2598  10 Hg 3.63-3.76, 2 Tl 3.80
3 Tl 0.0000 0.7000 0.7000  1 Pd 2.80
4 Hg 0.5231 0.2693 0.2693  1 Pd 2.79
5 Hg 0.4769 0.7462 0.7462  1 Pd 2.79
6 Hg 0.0000 0.7462 0.2693  1 Pd 2.79
7 Hg 0.0000 0.2693 0.7462  1 Pd 2.79
8 Hg 0.0000 0.2691 0.2691  1 Pd 2.88
9 Pd 0.0000 0.9804 0.9804  5 Hg 2.79-2.88, 1 Tl 2.80

(5)
# Rb2TlHgPd

Crystalline Rb2TlHgPd at its relaxed geometry (GGA-PBE, Alexandria via LeMat-Bulk).

Total magnetic moment: 0.0 μB/f.u.
Calculated formation energy: -0.0500 eV/atom
Crystal system: tetragonal
Space group: P4/mmm (123)
Calculated total energy: -2.009 eV/atom

a b c (Å): 6.4879 6.4879 5.3259
angles (deg): 90.00 90.00 90.00
Last column: nearest neighbours and their distance in Å.
Sites, in units of the cell vectors:
1 Rb 0.0000 0.5000 0.0000  2 Pd 3.24
2 Rb 0.5000 0.0000 0.0000  2 Pd 3.24
3 Tl 0.0000 0.0000 0.5000  2 Pd 2.66
4 Hg 0.5000 0.5000 0.5000  8 Rb 4.20, 4 Tl 4.59
5 Pd 0.0000 0.0000 0.0000  2 Tl 2.66

(6)
# Rb2Tl2HgPd2

Crystalline Rb2Tl2HgPd2 at its relaxed geometry (GGA-PBE, Alexandria via LeMat-Bulk).

Total magnetic moment: 0.0 μB/f.u.
Calculated formation energy: -0.1233 eV/atom
Crystal system: monoclinic
Space group: C2/m (12)
Calculated total energy: -2.603 eV/atom

a b c (Å): 3.7933 6.8010 9.9552
angles (deg): 113.82 90.00 106.19
Last column: nearest neighbours and their distance in Å.
Sites, in units of the cell vectors:
1 Rb 0.5786 0.1571 0.8421  2 Pd 3.59-3.92, 4 Tl 3.59-3.86, 2 Hg 3.65, 2 Rb 3.79
2 Rb 0.4214 0.8429 0.1579  2 Pd 3.59-3.92, 4 Tl 3.59-3.86, 2 Hg 3.65, 2 Rb 3.79
3 Tl 0.7213 0.4425 0.2697  3 Pd 2.78-2.82
4 Tl 0.2787 0.5575 0.7303  3 Pd 2.78-2.82
5 Hg 0.0000 0.0000 0.5000  4 Pd 2.84
6 Pd 0.6639 0.3278 0.5084  3 Tl 2.78-2.82, 2 Hg 2.84, 2 Pd 3.00
7 Pd 0.3361 0.6722 0.4916  3 Tl 2.78-2.82, 2 Hg 2.84, 2 Pd 3.00

Q: The lowest calculated total energy belongs to which entry?
A: Rb2Tl2HgPd2

Q: Which value of calculated total energy does entry 1 give?
A: -1.858 eV/atom